Version P
Density functional theory data (GGA-PBE) for a geometry-optimized CrPAu3 structure.

Cell: 4.7932 4.7932 4.7932 Å, 90.00 90.00 90.00°
Element x y z (fractional)
Cr  0.0000  0.0000  0.0000
P  0.5000  0.5000  0.5000
Au  0.0000  0.0000  0.5000
Au  0.0000  0.5000  0.0000
Au  0.5000  0.0000  0.0000

Summary:
Calculated volume (Å³ per cell): 110.1
SG: Pm-3m (221)
Density of states at the Fermi level (states/eV per cell): 9.17


Version Q
Density functional theory data (GGA-PBE) for a geometry-optimized CrPAu3 structure.

Cell: 4.7162 4.7162 4.7162 Å, 90.00 90.00 90.00°
Element x y z (fractional)
Cr  0.0000  0.0000  0.0000
P  0.5000  0.5000  0.5000
Au  0.0000  0.5000  0.5000
Au  0.5000  0.0000  0.5000
Au  0.5000  0.5000  0.0000

Summary:
Calculated volume (Å³ per cell): 104.9
SG: Pm-3m (221)
Density of states at the Fermi level (states/eV per cell): 1.90


Preferred: version Q; penalty for the next structure: 964 meV/atom.


Version P
Density functional theory data (GGA-PBE) for a geometry-optimized CrPAuS2 structure.

Cell: 4.8796 4.8796 4.6303 Å, 90.00 90.00 90.00°
Element x y z (fractional)
Cr  0.0000  0.0000  0.0000
P  0.5000  0.5000  0.0000
Au  0.5000  0.5000  0.5000
S  0.0000  0.5000  0.5000
S  0.5000  0.0000  0.5000

Summary:
Calculated volume (Å³ per cell): 110.3
SG: P4/mmm (123)
Density of states at the Fermi level (states/eV per cell): 8.61


Version Q
Density functional theory data (GGA-PBE) for a geometry-optimized CrPAuS2 structure.

Cell: 4.3271 4.3271 4.8294 Å, 90.00 90.00 90.00°
Element x y z (fractional)
Cr  0.0000  0.0000  0.0000
P  0.0000  0.0000  0.5000
Au  0.5000  0.5000  0.5000
S  0.0000  0.5000  0.0000
S  0.5000  0.0000  0.0000

Summary:
Calculated volume (Å³ per cell): 90.4
SG: P4/mmm (123)
Density of states at the Fermi level (states/eV per cell): 3.44


Preferred: version Q; penalty for the next structure: 1024 meV/atom.


Version P
Density functional theory data (GGA-PBE) for a geometry-optimized CrPb2Au structure.

Cell: 3.8041 4.4790 5.8581 Å, 90.00 108.85 90.00°
Element x y z (fractional)
Cr  0.0000  0.0000  0.0000
Pb  0.2722  0.0000  0.5412
Pb  0.5718  0.5000  0.1446
Au  0.8502  0.5000  0.6987

Summary:
Calculated volume (Å³ per cell): 94.5
SG: Pm (6)
Density of states at the Fermi level (states/eV per cell): 2.58


Version Q
Density functional theory data (GGA-PBE) for a geometry-optimized CrPb2Au structure.

Cell: 6.4831 6.4831 6.4831 Å, 103.56 103.56 122.09°
Element x y z (fractional)
Cr  0.0000  0.0000  0.0000
Cr  0.7500  0.2500  0.5000
Pb  0.1332  0.6250  0.0082
Pb  0.3750  0.3832  0.5082
Pb  0.6168  0.1250  0.9918
Pb  0.8750  0.8668  0.4918
Au  0.2500  0.7500  0.5000
Au  0.5000  0.5000  0.0000

Summary:
Calculated volume (Å³ per cell): 202.0
SG: I-42d (122)
Density of states at the Fermi level (states/eV per cell): 4.85


Preferred: version P; penalty for the next structure: 195 meV/atom.


Version P
Density functional theory data (GGA-PBE) for a geometry-optimized CrPd6Au2 structure.

Cell: 4.8619 4.8619 8.4014 Å, 106.04 106.04 48.68°
Element x y z (fractional)
Cr  0.0000  0.0000  0.0000
Pd  0.9999  0.9999  0.3295
Pd  0.0001  0.0001  0.6705
Pd  0.3344  0.3344  0.1083
Pd  0.3350  0.3350  0.4447
Pd  0.6650  0.6650  0.5553
Pd  0.6656  0.6656  0.8917
Au  0.3331  0.3331  0.7782
Au  0.6669  0.6669  0.2218

Summary:
Calculated volume (Å³ per cell): 142.1
SG: C2/m (12)
Density of states at the Fermi level (states/eV per cell): 14.10


Version Q
Density functional theory data (GGA-PBE) for a geometry-optimized CrPd6Au2 structure.

Cell: 7.4074 7.4074 5.4047 Å, 93.76 93.76 96.68°
Element x y z (fractional)
Cr  0.0973  0.9027  0.7500
Cr  0.9027  0.0973  0.2500
Pd  0.0444  0.4255  0.2776
Pd  0.0482  0.2264  0.8115
Pd  0.2264  0.0482  0.3115
Pd  0.2759  0.7036  0.0020
Pd  0.2964  0.7241  0.4980
Pd  0.4255  0.0444  0.7776
Pd  0.5745  0.9556  0.2224
Pd  0.7036  0.2759  0.5020
Pd  0.7241  0.2964  0.9980
Pd  0.7736  0.9518  0.6885
Pd  0.9518  0.7736  0.1885
Pd  0.9556  0.5745  0.7224
Au  0.3535  0.3805  0.6117
Au  0.3805  0.3535  0.1117
Au  0.6195  0.6465  0.8883
Au  0.6465  0.6195  0.3883

Summary:
Calculated volume (Å³ per cell): 293.1
SG: C2/c (15)
Density of states at the Fermi level (states/eV per cell): 17.67


Preferred: version P; penalty for the next structure: 121 meV/atom.


Version P
Density functional theory data (GGA-PBE) for a geometry-optimized CrPd6Au structure.

Cell: 3.9447 3.9447 7.9329 Å, 90.00 90.00 90.00°
Element x y z (fractional)
Cr  0.0000  0.0000  0.0000
Pd  0.0000  0.5000  0.2388
Pd  0.0000  0.5000  0.7612
Pd  0.5000  0.0000  0.2388
Pd  0.5000  0.0000  0.7612
Pd  0.5000  0.5000  0.0000
Pd  0.5000  0.5000  0.5000
Au  0.0000  0.0000  0.5000

Summary:
Calculated volume (Å³ per cell): 123.4
SG: P4/mmm (123)
Density of states at the Fermi level (states/eV per cell): 14.02


Version Q
Density functional theory data (GGA-PBE) for a geometry-optimized CrPd6Au structure.

Cell: 4.9329 5.1240 5.1674 Å, 93.16 93.33 95.13°
Element x y z (fractional)
Cr  0.0000  0.0000  0.0000
Pd  0.0251  0.4422  0.7517
Pd  0.2481  0.9564  0.5724
Pd  0.4635  0.7484  0.0288
Pd  0.5365  0.2516  0.9712
Pd  0.7519  0.0436  0.4276
Pd  0.9749  0.5578  0.2483
Au  0.5000  0.5000  0.5000

Summary:
Calculated volume (Å³ per cell): 129.6
SG: P-1 (2)
Density of states at the Fermi level (states/eV per cell): 10.88


Preferred: version P; penalty for the next structure: 133 meV/atom.


Version P
Density functional theory data (GGA-PBE) for a geometry-optimized CrPd3Au structure.

Cell: 6.7468 6.7468 5.5654 Å, 90.00 90.00 140.25°
Element x y z (fractional)
Cr  0.1195  0.8805  0.7500
Cr  0.8805  0.1195  0.2500
Pd  0.3108  0.6892  0.5012
Pd  0.3108  0.6892  0.9988
Pd  0.4966  0.5034  0.2500
Pd  0.5034  0.4966  0.7500
Pd  0.6892  0.3108  0.0012
Pd  0.6892  0.3108  0.4988
Au  0.1131  0.8869  0.2500
Au  0.8869  0.1131  0.7500

Summary:
Calculated volume (Å³ per cell): 162.0
SG: Cmcm (63)
Density of states at the Fermi level (states/eV per cell): 15.92


Version Q
Density functional theory data (GGA-PBE) for a geometry-optimized CrPd3Au structure.

Cell: 4.5482 4.5482 4.5482 Å, 90.00 90.00 90.00°
Element x y z (fractional)
Cr  0.0000  0.0000  0.0000
Pd  0.0000  0.0000  0.5000
Pd  0.0000  0.5000  0.0000
Pd  0.5000  0.0000  0.0000
Au  0.5000  0.5000  0.5000

Summary:
Calculated volume (Å³ per cell): 94.1
SG: Pm-3m (221)
Density of states at the Fermi level (states/eV per cell): 4.46


Version R
Density functional theory data (GGA-PBE) for a geometry-optimized CrPd3Au structure.

Cell: 7.4658 7.4658 4.8360 Å, 95.73 95.73 142.18°
Element x y z (fractional)
Cr  0.1467  0.8533  0.7500
Cr  0.8533  0.1467  0.2500
Pd  0.0509  0.9491  0.2500
Pd  0.2500  0.7500  0.2500
Pd  0.4486  0.5514  0.2500
Pd  0.5514  0.4486  0.7500
Pd  0.7500  0.2500  0.7500
Pd  0.9491  0.0509  0.7500
Au  0.3494  0.6506  0.7500
Au  0.6506  0.3494  0.2500

Summary:
Calculated volume (Å³ per cell): 157.3
SG: C2/c (15)
Density of states at the Fermi level (states/eV per cell): 13.98


Preferred: version R; penalty for the next structure: 91 meV/atom.


Version P
Density functional theory data (GGA-PBE) for a geometry-optimized CrPdAu4 structure.

Cell: 5.0305 5.0305 4.9885 Å, 99.41 99.41 120.42°
Element x y z (fractional)
Cr  0.0000  0.0000  0.0000
Pd  0.5000  0.5000  0.5000
Au  0.1637  0.8363  0.5000
Au  0.3353  0.6647  0.0000
Au  0.6647  0.3353  0.0000
Au  0.8363  0.1637  0.5000

Summary:
Calculated volume (Å³ per cell): 102.8
SG: C2/m (12)
Density of states at the Fermi level (states/eV per cell): 2.71


Version Q
Density functional theory data (GGA-PBE) for a geometry-optimized CrPdAu4 structure.

Cell: 4.4060 4.4060 7.1767 Å, 107.67 107.67 60.73°
Element x y z (fractional)
Cr  0.0000  0.0000  0.0000
Pd  0.5000  0.5000  0.5000
Au  0.1253  0.1253  0.3809
Au  0.2866  0.2866  0.8490
Au  0.7134  0.7134  0.1510
Au  0.8747  0.8747  0.6191

Summary:
Calculated volume (Å³ per cell): 113.8
SG: C2/m (12)
Density of states at the Fermi level (states/eV per cell): 3.21


Preferred: version P; penalty for the next structure: 237 meV/atom.


Version P
Density functional theory data (GGA-PBE) for a geometry-optimized CrPd4Au2 structure.

Cell: 5.6434 6.3901 6.9292 Å, 111.89 91.73 103.22°
Element x y z (fractional)
Cr  0.0000  0.0000  0.0000
Cr  0.3007  0.1422  0.6922
Pd  0.0788  0.2766  0.4186
Pd  0.2186  0.8548  0.2815
Pd  0.3520  0.4060  0.1228
Pd  0.5794  0.2807  0.4266
Pd  0.6501  0.5637  0.8518
Pd  0.8011  0.1365  0.7136
Pd  0.8623  0.4201  0.1407
Pd  0.9475  0.7225  0.5782
Au  0.1443  0.5623  0.8525
Au  0.4382  0.7044  0.5605
Au  0.4995  0.9981  0.9913
Au  0.7228  0.8498  0.2794

Summary:
Calculated volume (Å³ per cell): 223.9
SG: P1 (1)
Density of states at the Fermi level (states/eV per cell): 16.57


Version Q
Density functional theory data (GGA-PBE) for a geometry-optimized CrPd4Au2 structure.

Cell: 6.7449 6.7449 12.6287 Å, 90.00 90.00 156.06°
Element x y z (fractional)
Cr  0.1942  0.8058  0.7500
Cr  0.8058  0.1942  0.2500
Pd  0.0000  0.0000  0.0000
Pd  0.0000  0.0000  0.5000
Pd  0.3213  0.6787  0.0777
Pd  0.3213  0.6787  0.4223
Pd  0.4617  0.5383  0.2500
Pd  0.5383  0.4617  0.7500
Pd  0.6787  0.3213  0.5777
Pd  0.6787  0.3213  0.9223
Au  0.3636  0.6364  0.6354
Au  0.3636  0.6364  0.8646
Au  0.6364  0.3636  0.1354
Au  0.6364  0.3636  0.3646

Summary:
Calculated volume (Å³ per cell): 233.2
SG: Cmcm (63)
Density of states at the Fermi level (states/eV per cell): 12.54


Preferred: version P; penalty for the next structure: 141 meV/atom.